Record 1
Sc3Ta4 | PBE-GGA | optimized geometry

Lattice parameters (Å, degrees): 5.5056 5.5056 5.2894 90.00 90.00 120.00
Last column: nearest neighbours and their distance in Å.
Atoms (fractional coordinates):
Sc 0.0000 0.5000 0.0000  4 Sc 2.75, 4 Ta 3.07
Sc 0.5000 0.0000 0.0000  4 Sc 2.75, 4 Ta 3.07
Sc 0.5000 0.5000 0.0000  4 Sc 2.75, 4 Ta 3.07
Ta 0.0000 0.0000 0.2573  2 Ta 2.57-2.72
Ta 0.0000 0.0000 0.7427  2 Ta 2.57-2.72
Ta 0.3333 0.6667 0.5000  6 Sc 3.09, 9 Ta 3.18-3.43
Ta 0.6667 0.3333 0.5000  6 Sc 3.09, 9 Ta 3.18-3.43

Computed properties:
- ΔE_f: 3.8 eV/f.u.

Record 2
ScTa3 | PBE-GGA | optimized geometry

Lattice parameters (Å, degrees): 5.8566 5.8566 5.8566 152.30 64.06 123.51
Last column: nearest neighbours and their distance in Å.
Atoms (fractional coordinates):
Sc 0.0000 0.0000 0.0000  2 Sc 2.80, 10 Ta 2.90-3.14
Ta 0.4775 0.7257 0.7518  9 Ta 2.80-3.11, 3 Sc 2.90-3.13
Ta 0.4936 0.9936 0.5000  8 Ta 2.80-3.11, 4 Sc 3.07-3.14
Ta 0.9739 0.7257 0.2482  9 Ta 2.80-3.11, 3 Sc 2.90-3.13

Computed properties:
- ΔE_f: 0.9 eV/f.u.

What did the first record say?
Sc3Ta4 | PBE-GGA | optimized geometry

Lattice parameters (Å, degrees): 5.5056 5.5056 5.2894 90.00 90.00 120.00
Last column: nearest neighbours and their distance in Å.
Atoms (fractional coordinates):
Sc 0.0000 0.5000 0.0000  4 Sc 2.75, 4 Ta 3.07
Sc 0.5000 0.0000 0.0000  4 Sc 2.75, 4 Ta 3.07
Sc 0.5000 0.5000 0.0000  4 Sc 2.75, 4 Ta 3.07
Ta 0.0000 0.0000 0.2573  2 Ta 2.57-2.72
Ta 0.0000 0.0000 0.7427  2 Ta 2.57-2.72
Ta 0.3333 0.6667 0.5000  6 Sc 3.09, 9 Ta 3.18-3.43
Ta 0.6667 0.3333 0.5000  6 Sc 3.09, 9 Ta 3.18-3.43

Computed properties:
- ΔE_f: 3.8 eV/f.u.